First-principles (PBE-GGA) data for a relaxed ReHg2HPb crystal, as listed in Alexandria.

Properties
Total magnetization = 4.393 μB per formula unit
Crystal system = tetragonal
Calculated total energy = -2.29 eV/atom

```
data_ReHg2HPb
_space_group_name_H-M_alt 'P 4/m m m'
_space_group_IT_number 123
_space_group_name_Hall '-P 4 2'
_cell_length_a 5.949
_cell_length_b 5.949
_cell_length_c 5.411
_cell_angle_alpha 90.00
_cell_angle_beta 90.00
_cell_angle_gamma 90.00
loop_
_atom_site_label
_atom_site_fract_x
_atom_site_fract_y
_atom_site_fract_z
Re1 0.000 0.000 0.000
Hg1 0.000 0.500 0.500
H1 0.500 0.500 0.000
Pb1 0.000 0.000 0.500
```